1.
# LuPdPbSe3 | OQMD via LeMat-Bulk | PBE | relaxed
data_LuPdPbSe3
_cell_length_a 7.3299
_cell_length_b 7.3299
_cell_length_c 10.5103
_cell_angle_alpha 90.00
_cell_angle_beta 90.00
_cell_angle_gamma 149.21
_space_group_name_H-M_alt 'P 1'
_space_group_IT_number 1
_space_group_name_Hall 'P 1'
loop_
_atom_site_label
_atom_site_type_symbol
_atom_site_fract_x
_atom_site_fract_y
_atom_site_fract_z
_atom_site_occupancy
Lu1 Lu 0.0000 0.0000 0.0000 1
Lu2 Lu 0.0000 0.0000 0.5000 1
Pb1 Pb 0.7814 0.2186 0.2500 1
Pb2 Pb 0.2186 0.7814 0.7500 1
Pd1 Pd 0.4652 0.5348 0.2500 1
Pd2 Pd 0.5348 0.4652 0.7500 1
Se1 Se 0.3587 0.6413 0.0465 1
Se2 Se 0.0808 0.9192 0.2500 1
Se3 Se 0.3587 0.6413 0.4535 1
Se4 Se 0.6413 0.3587 0.5465 1
Se5 Se 0.9192 0.0808 0.7500 1
Se6 Se 0.6413 0.3587 0.9535 1
# Calculated volume: 24.1 Å³/atom
# Space-group type: Cmcm (63)
# Electronic total energy: -59.15 eV/cell

2.
# ScReNiAs | OQMD via LeMat-Bulk | PBE | relaxed
data_ScReNiAs
_cell_length_a 4.4530
_cell_length_b 4.4530
_cell_length_c 4.4530
_cell_angle_alpha 60.00
_cell_angle_beta 60.00
_cell_angle_gamma 60.00
_space_group_name_H-M_alt 'P 1'
_space_group_IT_number 1
_space_group_name_Hall 'P 1'
loop_
_atom_site_label
_atom_site_type_symbol
_atom_site_fract_x
_atom_site_fract_y
_atom_site_fract_z
_atom_site_occupancy
As1 As 0.0000 0.0000 0.0000 1
Ni1 Ni 0.7500 0.7500 0.7500 1
Re1 Re 0.5000 0.5000 0.5000 1
Sc1 Sc 0.2500 0.2500 0.2500 1
# Calculated volume: 15.6 Å³/atom
# Space-group type: F-43m (216)
# Electronic total energy: -27.59 eV/cell

3.
# Er3TmIn2B2 | OQMD via LeMat-Bulk | PBE | relaxed
data_Er3TmIn2B2
_cell_length_a 3.5691
_cell_length_b 3.5691
_cell_length_c 16.8008
_cell_angle_alpha 90.00
_cell_angle_beta 90.00
_cell_angle_gamma 120.00
_space_group_name_H-M_alt 'P 1'
_space_group_IT_number 1
_space_group_name_Hall 'P 1'
loop_
_atom_site_label
_atom_site_type_symbol
_atom_site_fract_x
_atom_site_fract_y
_atom_site_fract_z
_atom_site_occupancy
B1 B 0.3333 0.6667 0.0005 1
B2 B 0.3333 0.6667 0.4999 1
Er1 Er 0.0000 0.0000 0.4087 1
Er2 Er 0.6667 0.3333 0.5908 1
Er3 Er 0.6667 0.3333 0.9099 1
In1 In 0.6667 0.3333 0.2493 1
In2 In 0.0000 0.0000 0.7502 1
Tm1 Tm 0.0000 0.0000 0.0907 1
# Calculated volume: 23.2 Å³/atom
# Space-group type: P3m1 (156)
# Electronic total energy: -38.07 eV/cell

4.
# ErPaNO | OQMD via LeMat-Bulk | PBE | relaxed
data_ErPaNO
_cell_length_a 4.2590
_cell_length_b 4.2590
_cell_length_c 7.7238
_cell_angle_alpha 90.00
_cell_angle_beta 90.00
_cell_angle_gamma 90.00
_space_group_name_H-M_alt 'P 1'
_space_group_IT_number 1
_space_group_name_Hall 'P 1'
loop_
_atom_site_label
_atom_site_type_symbol
_atom_site_fract_x
_atom_site_fract_y
_atom_site_fract_z
_atom_site_occupancy
Er1 Er 0.0000 0.5000 0.0995 1
Er2 Er 0.5000 0.0000 0.9005 1
N1 N 0.5000 0.0000 0.3589 1
N2 N 0.0000 0.5000 0.6411 1
O1 O 0.0000 0.0000 0.0000 1
O2 O 0.5000 0.5000 0.0000 1
Pa1 Pa 0.0000 0.0000 0.5000 1
Pa2 Pa 0.5000 0.5000 0.5000 1
# Calculated volume: 17.5 Å³/atom
# Space-group type: P4/nmm (129)
# ΔE to the lowest computed polymorph: 0.375 eV/atom

5.
# NdNbPd | OQMD via LeMat-Bulk | PBE | relaxed
data_NdNbPd
_cell_length_a 4.7248
_cell_length_b 4.7248
_cell_length_c 4.7248
_cell_angle_alpha 60.00
_cell_angle_beta 60.00
_cell_angle_gamma 60.00
_space_group_name_H-M_alt 'P 1'
_space_group_IT_number 1
_space_group_name_Hall 'P 1'
loop_
_atom_site_label
_atom_site_type_symbol
_atom_site_fract_x
_atom_site_fract_y
_atom_site_fract_z
_atom_site_occupancy
Nb1 Nb 0.5000 0.5000 0.5000 1
Nd1 Nd 0.0000 0.0000 0.0000 1
Pd1 Pd 0.2500 0.2500 0.2500 1
# Calculated volume: 24.9 Å³/atom
# Energy of formation from the pure elements: 0.3171 eV/atom
# Space-group type: F-43m (216)
# ΔE to the lowest computed polymorph: 0.000 eV/atom

6.
# SrCuSi | OQMD via LeMat-Bulk | PBE | relaxed
data_SrCuSi
_cell_length_a 8.7445
_cell_length_b 8.7445
_cell_length_c 3.3309
_cell_angle_alpha 90.00
_cell_angle_beta 90.00
_cell_angle_gamma 120.00
_space_group_name_H-M_alt 'P 1'
_space_group_IT_number 1
_space_group_name_Hall 'P 1'
loop_
_atom_site_label
_atom_site_type_symbol
_atom_site_fract_x
_atom_site_fract_y
_atom_site_fract_z
_atom_site_occupancy
Cu1 Cu 0.6649 0.0000 0.0000 1
Cu2 Cu 0.3351 0.3351 0.0000 1
Cu3 Cu 0.0000 0.6649 0.0000 1
Si1 Si 0.0000 0.0000 0.0000 1
Si2 Si 0.6667 0.3333 0.0000 1
Si3 Si 0.3333 0.6667 0.0000 1
Sr1 Sr 0.3326 0.0000 0.0000 1
Sr2 Sr 0.0000 0.3326 0.0000 1
Sr3 Sr 0.6674 0.6674 0.0000 1
# Calculated volume: 24.5 Å³/atom
# Space-group type: P-62m (189)
# Electronic total energy: -27.53 eV/cell

7.
# PrFeSi2Os | OQMD via LeMat-Bulk | PBE | relaxed
data_PrFeSi2Os
_cell_length_a 5.8163
_cell_length_b 5.8163
_cell_length_c 5.8163
_cell_angle_alpha 138.75
_cell_angle_beta 138.75
_cell_angle_gamma 59.75
_space_group_name_H-M_alt 'P 1'
_space_group_IT_number 1
_space_group_name_Hall 'P 1'
loop_
_atom_site_label
_atom_site_type_symbol
_atom_site_fract_x
_atom_site_fract_y
_atom_site_fract_z
_atom_site_occupancy
Fe1 Fe 0.0000 0.0000 0.0000 1
Os1 Os 0.5000 0.5000 0.0000 1
Pr1 Pr 0.7500 0.2500 0.5000 1
Si1 Si 0.1171 0.6171 0.5000 1
Si2 Si 0.3829 0.8829 0.5000 1
# Calculated volume: 16.9 Å³/atom
# Space-group type: I-4m2 (119)
# Electronic total energy: -38.34 eV/cell

8.
# TbDy2Cu4Si2Sn2 | OQMD via LeMat-Bulk | PBE | relaxed
data_TbDy2Cu4Si2Sn2
_cell_length_a 8.2094
_cell_length_b 8.2094
_cell_length_c 8.2094
_cell_angle_alpha 149.46
_cell_angle_beta 132.31
_cell_angle_gamma 57.70
_space_group_name_H-M_alt 'P 1'
_space_group_IT_number 1
_space_group_name_Hall 'P 1'
loop_
_atom_site_label
_atom_site_type_symbol
_atom_site_fract_x
_atom_site_fract_y
_atom_site_fract_z
_atom_site_occupancy
Cu1 Cu 0.6568 0.3465 0.3103 1
Cu2 Cu 0.9639 0.6535 0.3103 1
Cu3 Cu 0.0361 0.3465 0.6897 1
Cu4 Cu 0.3432 0.6535 0.6897 1
Dy1 Dy 0.6241 0.1241 0.5000 1
Dy2 Dy 0.3759 0.8759 0.5000 1
Si1 Si 0.6815 0.5000 0.1815 1
Si2 Si 0.3185 0.5000 0.8185 1
Sn1 Sn 0.2185 0.2185 0.0000 1
Sn2 Sn 0.7815 0.7815 0.0000 1
Tb1 Tb 0.0000 0.0000 0.0000 1
# Calculated volume: 18.8 Å³/atom
# Space-group type: Immm (71)
# ΔE to the lowest computed polymorph: 0.000 eV/atom

9.
# LaPr2Cu2B2N3 | OQMD via LeMat-Bulk | PBE | relaxed
data_LaPr2Cu2B2N3
_cell_length_a 10.8225
_cell_length_b 10.8225
_cell_length_c 10.8225
_cell_angle_alpha 160.42
_cell_angle_beta 160.42
_cell_angle_gamma 27.83
_space_group_name_H-M_alt 'P 1'
_space_group_IT_number 1
_space_group_name_Hall 'P 1'
loop_
_atom_site_label
_atom_site_type_symbol
_atom_site_fract_x
_atom_site_fract_y
_atom_site_fract_z
_atom_site_occupancy
B1 B 0.1876 0.1876 0.0000 1
B2 B 0.8124 0.8124 0.0000 1
Cu1 Cu 0.7500 0.2500 0.5000 1
Cu2 Cu 0.2500 0.7500 0.5000 1
La1 La 0.0000 0.0000 0.0000 1
N1 N 0.1197 0.1197 0.0000 1
N2 N 0.5000 0.5000 0.0000 1
N3 N 0.8803 0.8803 0.0000 1
Pr1 Pr 0.3751 0.3751 0.0000 1
Pr2 Pr 0.6249 0.6249 0.0000 1
# Calculated volume: 14.2 Å³/atom
# Space-group type: I4/mmm (139)
# Electronic total energy: -69.08 eV/cell

10.
# Ta4Nb2As3N3 | OQMD via LeMat-Bulk | PBE | relaxed
data_Ta4Nb2As3N3
_cell_length_a 5.7310
_cell_length_b 5.7310
_cell_length_c 12.4539
_cell_angle_alpha 103.20
_cell_angle_beta 103.20
_cell_angle_gamma 60.01
_space_group_name_H-M_alt 'P 1'
_space_group_IT_number 1
_space_group_name_Hall 'P 1'
loop_
_atom_site_label
_atom_site_type_symbol
_atom_site_fract_x
_atom_site_fract_y
_atom_site_fract_z
_atom_site_occupancy
As1 As 0.4157 0.2465 0.2476 1
As2 As 0.0812 0.9188 0.2500 1
As3 As 0.7535 0.5843 0.2524 1
As4 As 0.2465 0.4157 0.7476 1
As5 As 0.9188 0.0812 0.7500 1
As6 As 0.5843 0.7535 0.7524 1
N1 N 0.0000 0.5000 0.0000 1
N2 N 0.3240 0.8563 0.0001 1
N3 N 0.1437 0.6760 0.4999 1
N4 N 0.5000 0.0000 0.5000 1
N5 N 0.8563 0.3240 0.5001 1
N6 N 0.6760 0.1437 0.9999 1
Nb1 Nb 0.3760 0.5338 0.0953 1
Nb2 Nb 0.4662 0.6240 0.4047 1
Nb3 Nb 0.5338 0.3760 0.5953 1
Nb4 Nb 0.6240 0.4662 0.9047 1
Ta1 Ta 0.6996 0.8446 0.0903 1
Ta2 Ta 0.0120 0.2122 0.0909 1
Ta3 Ta 0.7878 0.9880 0.4091 1
Ta4 Ta 0.1554 0.3004 0.4097 1
Ta5 Ta 0.8446 0.6996 0.5903 1
Ta6 Ta 0.2122 0.0120 0.5909 1
Ta7 Ta 0.9880 0.7878 0.9091 1
Ta8 Ta 0.3004 0.1554 0.9097 1
# Calculated volume: 14.2 Å³/atom
# Space-group type: C2/c (15)
# Electronic total energy: -228.19 eV/cell

11.
# CuH12C6S4N2 | OQMD via LeMat-Bulk | PBE | relaxed
data_CuH12C6S4N2
_cell_length_a 10.4927
_cell_length_b 10.4927
_cell_length_c 15.0408
_cell_angle_alpha 93.98
_cell_angle_beta 93.98
_cell_angle_gamma 135.31
_space_group_name_H-M_alt 'P 1'
_space_group_IT_number 1
_space_group_name_Hall 'P 1'
loop_
_atom_site_label
_atom_site_type_symbol
_atom_site_fract_x
_atom_site_fract_y
_atom_site_fract_z
_atom_site_occupancy
C1 C 0.6339 0.3343 0.0080 1
C2 C 0.2206 0.7663 0.0234 1
C3 C 0.6778 0.2066 0.1220 1
C4 C 0.3060 0.3344 0.1340 1
C5 C 0.7944 0.7523 0.2267 1
C6 C 0.1517 0.3543 0.2410 1
C7 C 0.6457 0.8483 0.2590 1
C8 C 0.2477 0.2056 0.2733 1
C9 C 0.6656 0.6940 0.3660 1
C10 C 0.7934 0.3222 0.3780 1
C11 C 0.2337 0.7794 0.4766 1
C12 C 0.6657 0.3661 0.4920 1
C13 C 0.3343 0.6339 0.5080 1
C14 C 0.7663 0.2206 0.5234 1
C15 C 0.2066 0.6778 0.6220 1
C16 C 0.3344 0.3060 0.6340 1
C17 C 0.7523 0.7944 0.7267 1
C18 C 0.3543 0.1517 0.7410 1
C19 C 0.8483 0.6457 0.7590 1
C20 C 0.2056 0.2477 0.7733 1
C21 C 0.6940 0.6656 0.8660 1
C22 C 0.3222 0.7934 0.8780 1
C23 C 0.7794 0.2337 0.9766 1
C24 C 0.3661 0.6657 0.9920 1
Cu1 Cu 0.0473 0.8043 0.1365 1
Cu2 Cu 0.1957 0.9527 0.3635 1
Cu3 Cu 0.8043 0.0473 0.6365 1
Cu4 Cu 0.9527 0.1957 0.8635 1
H1 H 0.4846 0.2324 0.0077 1
H2 H 0.7048 0.4584 0.0575 1
H3 H 0.3374 0.6284 0.0593 1
H4 H 0.1883 0.2629 0.0798 1
H5 H 0.3665 0.2833 0.1238 1
H6 H 0.5312 0.1031 0.1280 1
H7 H 0.4097 0.4825 0.1313 1
H8 H 0.7333 0.1507 0.1340 1
H9 H 0.7515 0.3303 0.1725 1
H10 H 0.0285 0.2750 0.1891 1
H11 H 0.6735 0.8870 0.1918 1
H12 H 0.2416 0.5011 0.2386 1
H13 H 0.4989 0.7584 0.2614 1
H14 H 0.1130 0.3265 0.3082 1
H15 H 0.7250 0.9715 0.3109 1
H16 H 0.6697 0.2485 0.3275 1
H17 H 0.8493 0.2667 0.3660 1
H18 H 0.5175 0.5903 0.3687 1
H19 H 0.8969 0.4688 0.3720 1
H20 H 0.7167 0.6335 0.3762 1
H21 H 0.7371 0.8117 0.4202 1
H22 H 0.3716 0.6626 0.4407 1
H23 H 0.5416 0.2952 0.4425 1
H24 H 0.7676 0.5154 0.4923 1
H25 H 0.2324 0.4846 0.5077 1
H26 H 0.4584 0.7048 0.5575 1
H27 H 0.6284 0.3374 0.5593 1
H28 H 0.2629 0.1883 0.5798 1
H29 H 0.2833 0.3665 0.6238 1
H30 H 0.1031 0.5312 0.6280 1
H31 H 0.4825 0.4097 0.6313 1
H32 H 0.1507 0.7333 0.6340 1
H33 H 0.3303 0.7515 0.6725 1
H34 H 0.2750 0.0285 0.6891 1
H35 H 0.8870 0.6735 0.6918 1
H36 H 0.5011 0.2416 0.7386 1
H37 H 0.7584 0.4989 0.7614 1
H38 H 0.3265 0.1130 0.8082 1
H39 H 0.9715 0.7250 0.8109 1
H40 H 0.2485 0.6697 0.8275 1
H41 H 0.2667 0.8493 0.8660 1
H42 H 0.5903 0.5175 0.8687 1
H43 H 0.4688 0.8969 0.8720 1
H44 H 0.6335 0.7167 0.8762 1
H45 H 0.8117 0.7371 0.9202 1
H46 H 0.6626 0.3716 0.9407 1
H47 H 0.2952 0.5416 0.9425 1
H48 H 0.5154 0.7676 0.9923 1
N1 N 0.6998 0.2552 0.0322 1
N2 N 0.2449 0.3024 0.2213 1
N3 N 0.6976 0.7551 0.2787 1
N4 N 0.7448 0.3002 0.4678 1
N5 N 0.2552 0.6998 0.5322 1
N6 N 0.3024 0.2449 0.7213 1
N7 N 0.7551 0.6976 0.7787 1
N8 N 0.3002 0.7448 0.9678 1
S1 S 0.8548 0.1369 0.0029 1
S2 S 0.8458 0.8342 0.1263 1
S3 S 0.1858 0.7035 0.1286 1
S4 S 0.3296 0.1156 0.2439 1
S5 S 0.8844 0.6704 0.2561 1
S6 S 0.2965 0.8142 0.3714 1
S7 S 0.1658 0.1542 0.3737 1
S8 S 0.8631 0.1452 0.4971 1
S9 S 0.1369 0.8548 0.5029 1
S10 S 0.8342 0.8458 0.6263 1
S11 S 0.7035 0.1858 0.6286 1
S12 S 0.1156 0.3296 0.7439 1
S13 S 0.6704 0.8844 0.7561 1
S14 S 0.8142 0.2965 0.8714 1
S15 S 0.1542 0.1658 0.8737 1
S16 S 0.1452 0.8631 0.9971 1
# Calculated volume: 11.5 Å³/atom
# Space-group type: C2/c (15)
# Electronic total energy: -539.11 eV/cell

12.
# Cs4Dy3CdF12 | OQMD via LeMat-Bulk | PBE | relaxed
data_Cs4Dy3CdF12
_cell_length_a 11.9911
_cell_length_b 11.9911
_cell_length_c 11.9911
_cell_angle_alpha 30.78
_cell_angle_beta 30.78
_cell_angle_gamma 30.78
_space_group_name_H-M_alt 'P 1'
_space_group_IT_number 1
_space_group_name_Hall 'P 1'
loop_
_atom_site_label
_atom_site_type_symbol
_atom_site_fract_x
_atom_site_fract_y
_atom_site_fract_z
_atom_site_occupancy
Cd1 Cd 0.0000 0.0000 0.0000 1
Cs1 Cs 0.1297 0.1297 0.1297 1
Cs2 Cs 0.2832 0.2832 0.2832 1
Cs3 Cs 0.7168 0.7168 0.7168 1
Cs4 Cs 0.8703 0.8703 0.8703 1
Dy1 Dy 0.4138 0.4138 0.4138 1
Dy2 Dy 0.5000 0.5000 0.5000 1
Dy3 Dy 0.5862 0.5862 0.5862 1
F1 F 0.6211 0.6211 0.1403 1
F2 F 0.7471 0.2168 0.2168 1
F3 F 0.2168 0.7471 0.2168 1
F4 F 0.7832 0.7832 0.2529 1
F5 F 0.8597 0.3789 0.3789 1
F6 F 0.3789 0.8597 0.3789 1
F7 F 0.6211 0.1403 0.6211 1
F8 F 0.1403 0.6211 0.6211 1
F9 F 0.2168 0.2168 0.7471 1
F10 F 0.7832 0.2529 0.7832 1
F11 F 0.2529 0.7832 0.7832 1
F12 F 0.3789 0.3789 0.8597 1
# Calculated volume: 20.0 Å³/atom
# Space-group type: R-3m (166)
# Electronic total energy: -101.22 eV/cell